The following is a PBE-GGA calculation of a relaxed Sn2Ge2Br crystal, from Alexandria.

Cell lengths 8.696, 8.696, 3.351 Å; angles 90.00, 90.00, 90.00 degrees
Sites, in units of the cell vectors:
Ge: 0.378 0.122 0.500
Br: 0.000 0.000 0.000
Sn: 0.170 0.330 0.000
Br: 0.500 0.500 0.000
Ge: 0.122 0.622 0.500
Ge: 0.878 0.378 0.500
Ge: 0.622 0.878 0.500
Sn: 0.830 0.670 0.000
Sn: 0.330 0.830 0.000
Sn: 0.670 0.170 0.000

Properties
E_form (uncorrected): 0.105 eV/atom
Space group: P4/mbm

---

The following is a PBE-GGA calculation of a relaxed SmDyTlRh crystal, from Alexandria.

Cell lengths 5.169, 5.169, 5.169 Å; angles 60.00, 60.00, 60.00 degrees
Sites, in units of the cell vectors:
Sm: 0.250 0.250 0.250
Rh: 0.500 0.500 0.500
Tl: 0.000 0.000 0.000
Dy: 0.750 0.750 0.750

Properties
Space group: F-43m

---

Number 1: distance to the lowest polymorph of the same formula 0.158 eV/atom. Number 2: distance to the lowest polymorph of the same formula 0.123 eV/atom.